(1)
Below is crystalline HfPt6Rh at its relaxed geometry, with properties calculated at the PBE level.

Values from the calculation:
The value obtained for the electronic total energy is -57.74 eV/cell. The total magnetization is 2.0 μB per formula unit. As for the crystal system: tetragonal. The energy of formation from the pure elements comes out at -4.19 eV/f.u. The value obtained for the density of states at the Fermi level is 1.43 states/eV per atom.

```
data_HfPt6Rh
_cell_length_a 5.654
_cell_length_b 5.654
_cell_length_c 3.984
_cell_angle_alpha 90.00
_cell_angle_beta 90.00
_cell_angle_gamma 90.00
_symmetry_space_group_name_H-M 'P 1'
_symmetry_Int_Tables_number 1
loop_
_symmetry_equiv_pos_as_xyz
'x,y,z'
loop_
_atom_site_label
_atom_site_type_symbol
_atom_site_fract_x
_atom_site_fract_y
_atom_site_fract_z
Hf1 Hf 0.000 0.000 0.000
Pt1 Pt 0.000 0.500 0.000
Pt2 Pt 0.251 0.251 0.500
Pt3 Pt 0.251 0.749 0.500
Pt4 Pt 0.500 0.000 0.000
Pt5 Pt 0.749 0.251 0.500
Pt6 Pt 0.749 0.749 0.500
Rh1 Rh 0.500 0.500 0.000
```



(2)
Below is crystalline BaAl2Sb at its relaxed geometry, with properties calculated at the PBE level.

Values from the calculation:
The value obtained for the electronic total energy is -13.67 eV/cell. The total magnetization is 0.0 μB per formula unit. The formation energy (no corrections) is -0.04 eV per atom. As for the crystal system: tetragonal. The value obtained for the density of states at the Fermi level is 0.83 states/eV per atom.

```
data_BaAl2Sb
_cell_length_a 6.024
_cell_length_b 6.024
_cell_length_c 6.024
_cell_angle_alpha 133.51
_cell_angle_beta 133.51
_cell_angle_gamma 67.86
_symmetry_space_group_name_H-M 'P 1'
_symmetry_Int_Tables_number 1
loop_
_symmetry_equiv_pos_as_xyz
'x,y,z'
loop_
_atom_site_label
_atom_site_type_symbol
_atom_site_fract_x
_atom_site_fract_y
_atom_site_fract_z
Ba1 Ba 0.000 0.000 0.000
Al1 Al 0.500 0.500 0.000
Al2 Al 0.750 0.250 0.500
Sb1 Sb 0.250 0.750 0.500
```



(3)
Below is crystalline Ho4CdRuAu2 at its relaxed geometry, with properties calculated at the PBE level.

Values from the calculation:
The value obtained for the electronic total energy is -39.98 eV/cell. The total magnetization is 0.0 μB per formula unit. As for the crystal system: trigonal. The energy of formation from the pure elements comes out at -4.92 eV/f.u. The value obtained for the density of states at the Fermi level is 0.71 states/eV per atom.

```
data_Ho4CdRuAu2
_cell_length_a 8.709
_cell_length_b 8.709
_cell_length_c 8.709
_cell_angle_alpha 33.77
_cell_angle_beta 33.77
_cell_angle_gamma 33.77
_symmetry_space_group_name_H-M 'P 1'
_symmetry_Int_Tables_number 1
loop_
_symmetry_equiv_pos_as_xyz
'x,y,z'
loop_
_atom_site_label
_atom_site_type_symbol
_atom_site_fract_x
_atom_site_fract_y
_atom_site_fract_z
Ho1 Ho 0.115 0.115 0.115
Ho2 Ho 0.367 0.367 0.367
Ho3 Ho 0.633 0.633 0.633
Ho4 Ho 0.885 0.885 0.885
Cd1 Cd 0.500 0.500 0.500
Ru1 Ru 0.000 0.000 0.000
Au1 Au 0.241 0.241 0.241
Au2 Au 0.759 0.759 0.759
```



(4)
Below is crystalline Na2SbOs at its relaxed geometry, with properties calculated at the PBE level.

Values from the calculation:
The value obtained for the electronic total energy is -30.73 eV/cell. The total magnetization is 0.0 μB per formula unit. The formation energy (no corrections) is 0.66 eV per atom. As for the crystal system: tetragonal. The value obtained for the density of states at the Fermi level is 0.81 states/eV per atom.

```
data_Na2SbOs
_cell_length_a 8.557
_cell_length_b 8.557
_cell_length_c 8.557
_cell_angle_alpha 94.86
_cell_angle_beta 94.86
_cell_angle_gamma 146.16
_symmetry_space_group_name_H-M 'P 1'
_symmetry_Int_Tables_number 1
loop_
_symmetry_equiv_pos_as_xyz
'x,y,z'
loop_
_atom_site_label
_atom_site_type_symbol
_atom_site_fract_x
_atom_site_fract_y
_atom_site_fract_z
Na1 Na 0.375 0.131 0.256
Na2 Na 0.869 0.125 0.244
Na3 Na 0.875 0.119 0.744
Na4 Na 0.881 0.625 0.756
Sb1 Sb 0.250 0.750 0.500
Sb2 Sb 0.500 0.500 0.000
Os1 Os 0.000 0.000 0.000
Os2 Os 0.750 0.250 0.500
```



(5)
Below is crystalline NbP2PdO at its relaxed geometry, with properties calculated at the PBE level.

Values from the calculation:
The value obtained for the electronic total energy is -28.66 eV/cell. The total magnetization is 0.0 μB per formula unit. The formation energy (no corrections) is 0.48 eV per atom. As for the crystal system: tetragonal. The value obtained for the density of states at the Fermi level is 0.73 states/eV per atom. As for the energy above the most stable polymorph in this dataset: 0.645 eV/atom.

```
data_NbP2PdO
_cell_length_a 4.610
_cell_length_b 4.610
_cell_length_c 3.863
_cell_angle_alpha 90.00
_cell_angle_beta 90.00
_cell_angle_gamma 90.00
_symmetry_space_group_name_H-M 'P 1'
_symmetry_Int_Tables_number 1
loop_
_symmetry_equiv_pos_as_xyz
'x,y,z'
loop_
_atom_site_label
_atom_site_type_symbol
_atom_site_fract_x
_atom_site_fract_y
_atom_site_fract_z
Nb1 Nb 0.000 0.000 0.000
P1 P 0.000 0.500 0.500
P2 P 0.500 0.000 0.500
Pd1 Pd 0.500 0.500 0.500
O1 O 0.500 0.500 0.000
```



(6)
Below is crystalline Pr4YTl at its relaxed geometry, with properties calculated at the PBE level.

Values from the calculation:
The value obtained for the electronic total energy is -28.58 eV/cell. The total magnetization is 0.0 μB per formula unit. As for the crystal system: tetragonal. The energy of formation from the pure elements comes out at -0.63 eV/f.u. The value obtained for the density of states at the Fermi level is 1.32 states/eV per atom. As for the energy above the most stable polymorph in this dataset: 0.000 eV/atom.

```
data_Pr4YTl
_cell_length_a 3.726
_cell_length_b 3.726
_cell_length_c 14.609
_cell_angle_alpha 90.00
_cell_angle_beta 90.00
_cell_angle_gamma 90.00
_symmetry_space_group_name_H-M 'P 1'
_symmetry_Int_Tables_number 1
loop_
_symmetry_equiv_pos_as_xyz
'x,y,z'
loop_
_atom_site_label
_atom_site_type_symbol
_atom_site_fract_x
_atom_site_fract_y
_atom_site_fract_z
Pr1 Pr 0.000 0.000 0.148
Pr2 Pr 0.000 0.000 0.852
Pr3 Pr 0.500 0.500 0.327
Pr4 Pr 0.500 0.500 0.673
Y1 Y 0.000 0.000 0.500
Tl1 Tl 0.500 0.500 0.000
```



(7)
Below is crystalline TaReAu2 at its relaxed geometry, with properties calculated at the PBE level.

Values from the calculation:
The value obtained for the electronic total energy is -30.02 eV/cell. The total magnetization is 0.0 μB per formula unit. As for the crystal system: monoclinic. The energy of formation from the pure elements comes out at 0.83 eV/f.u. The value obtained for the density of states at the Fermi level is 0.68 states/eV per atom. As for the energy above the most stable polymorph in this dataset: 0.101 eV/atom.

```
data_TaReAu2
_cell_length_a 5.119
_cell_length_b 5.119
_cell_length_c 4.712
_cell_angle_alpha 100.34
_cell_angle_beta 100.34
_cell_angle_gamma 34.04
_symmetry_space_group_name_H-M 'P 1'
_symmetry_Int_Tables_number 1
loop_
_symmetry_equiv_pos_as_xyz
'x,y,z'
loop_
_atom_site_label
_atom_site_type_symbol
_atom_site_fract_x
_atom_site_fract_y
_atom_site_fract_z
Ta1 Ta 0.000 0.000 0.000
Re1 Re 0.500 0.500 0.500
Au1 Au 0.248 0.248 0.748
Au2 Au 0.752 0.752 0.252
```



(8)
Below is crystalline TbErCoAu at its relaxed geometry, with properties calculated at the PBE level.

Values from the calculation:
The value obtained for the electronic total energy is -21.37 eV/cell. The total magnetization is 0.5 μB per formula unit. As for the crystal system: cubic. The energy of formation from the pure elements comes out at -1.80 eV/f.u. The value obtained for the density of states at the Fermi level is 0.75 states/eV per atom.

```
data_TbErCoAu
_cell_length_a 4.920
_cell_length_b 4.920
_cell_length_c 4.920
_cell_angle_alpha 60.00
_cell_angle_beta 60.00
_cell_angle_gamma 60.00
_symmetry_space_group_name_H-M 'P 1'
_symmetry_Int_Tables_number 1
loop_
_symmetry_equiv_pos_as_xyz
'x,y,z'
loop_
_atom_site_label
_atom_site_type_symbol
_atom_site_fract_x
_atom_site_fract_y
_atom_site_fract_z
Tb1 Tb 0.000 0.000 0.000
Er1 Er 0.500 0.500 0.500
Co1 Co 0.250 0.250 0.250
Au1 Au 0.750 0.750 0.750
```



(9)
Below is crystalline La4TcSeI2 at its relaxed geometry, with properties calculated at the PBE level.

Values from the calculation:
The value obtained for the electronic total energy is -44.98 eV/cell. The total magnetization is 0.0 μB per formula unit. The formation energy (no corrections) is -1.04 eV per atom. As for the crystal system: monoclinic. The value obtained for the density of states at the Fermi level is 0.65 states/eV per atom.

```
data_La4TcSeI2
_cell_length_a 7.743
_cell_length_b 4.273
_cell_length_c 8.323
_cell_angle_alpha 90.00
_cell_angle_beta 105.51
_cell_angle_gamma 90.00
_symmetry_space_group_name_H-M 'P 1'
_symmetry_Int_Tables_number 1
loop_
_symmetry_equiv_pos_as_xyz
'x,y,z'
loop_
_atom_site_label
_atom_site_type_symbol
_atom_site_fract_x
_atom_site_fract_y
_atom_site_fract_z
La1 La 0.214 0.000 0.193
La2 La 0.238 0.500 0.811
La3 La 0.762 0.500 0.189
La4 La 0.786 0.000 0.807
Tc1 Tc 0.000 0.500 0.000
Se1 Se 0.500 0.000 0.000
I1 I 0.000 0.000 0.500
I2 I 0.500 0.500 0.500
```



- Among the records above, which one has the highest electronic total energy?
  BaAl2Sb



What did the ninth record say?
Below is crystalline La4TcSeI2 at its relaxed geometry, with properties calculated at the PBE level.

Values from the calculation:
The value obtained for the electronic total energy is -44.98 eV/cell. The total magnetization is 0.0 μB per formula unit. The formation energy (no corrections) is -1.04 eV per atom. As for the crystal system: monoclinic. The value obtained for the density of states at the Fermi level is 0.65 states/eV per atom.

```
data_La4TcSeI2
_cell_length_a 7.743
_cell_length_b 4.273
_cell_length_c 8.323
_cell_angle_alpha 90.00
_cell_angle_beta 105.51
_cell_angle_gamma 90.00
_symmetry_space_group_name_H-M 'P 1'
_symmetry_Int_Tables_number 1
loop_
_symmetry_equiv_pos_as_xyz
'x,y,z'
loop_
_atom_site_label
_atom_site_type_symbol
_atom_site_fract_x
_atom_site_fract_y
_atom_site_fract_z
La1 La 0.214 0.000 0.193
La2 La 0.238 0.500 0.811
La3 La 0.762 0.500 0.189
La4 La 0.786 0.000 0.807
Tc1 Tc 0.000 0.500 0.000
Se1 Se 0.500 0.000 0.000
I1 I 0.000 0.000 0.500
I2 I 0.500 0.500 0.500
```



- Look up the electronic total energy of the first one.
  -57.74 eV/cell